Material: GaBr
Method: DFT, PBE-GGA
State: optimized geometry

Summary:
As for the density of states at the Fermi level: 0.000 states/eV per atom. The value obtained for the energy is -2.85 eV/atom. As for the crystal system: tetragonal.

abc: 11.776 11.776 4.186
angles: 90.00 90.00 90.00
Space group I4/m (No. 87)
Unique sites:
Ga1 0.159 0.269 0.000
Br1 0.000 0.281 0.500